# 1
Below is a relaxed Rb3NaMn crystal, with properties calculated at the PBE level.

Cell: 7.166 7.166 7.166 Å, 90.00 90.00 90.00°
Element x y z (fractional)
Rb (0.000, 0.000, 0.500)
Rb (0.000, 0.500, 0.000)
Rb (0.500, 0.000, 0.000)
Na (0.500, 0.500, 0.500)
Mn (0.000, 0.000, 0.000)

Summary:
The value obtained for the calculated volume is 368.0 Å³/f.u. The calculation puts the total energy at -10.156 eV per cell.

# 2
Below is a relaxed SmTmTl crystal, with properties calculated at the PBE level.

Cell: 7.289 7.289 7.289 Å, 151.38 151.38 40.92°
Element x y z (fractional)
Sm (0.000, 0.000, 0.000)
Tm (0.314, 0.314, 0.000)
Tl (0.663, 0.663, 0.000)

Summary:
The value obtained for the calculated volume is 88.7 Å³/f.u. For the distance to the lowest polymorph of the same formula, the calculation gives 10 kJ/mol of formula units.

# 3
Below is a relaxed Ho2Er5Th4 crystal, with properties calculated at the PBE level.

Cell: 3.558 8.607 11.793 Å, 104.59 98.61 90.06°
Element x y z (fractional)
Ho (0.090, 0.220, 0.180)
Ho (0.910, 0.780, 0.820)
Er (0.000, 0.500, 0.000)
Er (0.273, 0.686, 0.545)
Er (0.364, 0.405, 0.727)
Er (0.636, 0.595, 0.273)
Er (0.727, 0.314, 0.455)
Th (0.182, 0.952, 0.364)
Th (0.454, 0.137, 0.908)
Th (0.546, 0.863, 0.092)
Th (0.818, 0.048, 0.636)

Summary:
The value obtained for the calculated volume is 345.3 Å³/f.u. For the distance to the lowest polymorph of the same formula, the calculation gives 0 kJ/mol of formula units.

# 4
Below is a relaxed B5C7 crystal, with properties calculated at the PBE level.

Cell: 4.599 4.599 5.276 Å, 105.43 105.43 47.89°
Element x y z (fractional)
B (0.000, 0.000, 0.000)
B (0.351, 0.648, 0.289)
B (0.352, 0.649, 0.711)
B (0.633, 0.039, 0.420)
B (0.961, 0.367, 0.580)
C (0.048, 0.952, 0.500)
C (0.374, 0.278, 0.152)
C (0.394, 0.270, 0.681)
C (0.619, 0.032, 0.917)
C (0.722, 0.626, 0.848)
C (0.730, 0.606, 0.319)
C (0.968, 0.381, 0.083)

Summary:
The value obtained for the calculated volume is 79.2 Å³/f.u. For the distance to the lowest polymorph of the same formula, the calculation gives 92 kJ/mol of formula units.

# 5
Below is a relaxed Ni2SbP crystal, with properties calculated at the PBE level.

Cell: 3.792 3.792 9.637 Å, 90.00 90.00 120.00°
Element x y z (fractional)
Ni (0.333, 0.667, 0.084)
Ni (0.333, 0.667, 0.416)
Ni (0.667, 0.333, 0.584)
Ni (0.667, 0.333, 0.916)
Sb (0.333, 0.667, 0.750)
Sb (0.667, 0.333, 0.250)
P (0.000, 0.000, 0.000)
P (0.000, 0.000, 0.500)

Summary:
The value obtained for the calculated volume is 60.0 Å³/f.u. For the distance to the lowest polymorph of the same formula, the calculation gives 47 kJ/mol of formula units. As for the formation energy from raw total energies: -0.76 eV per formula unit.

# 6
Below is a relaxed Ta2TiWCl crystal, with properties calculated at the PBE level.

Cell: 4.879 4.879 4.558 Å, 90.00 90.00 90.00°
Element x y z (fractional)
Ta (0.000, 0.500, 0.000)
Ta (0.500, 0.000, 0.000)
Ti (0.000, 0.000, 0.000)
W (0.000, 0.000, 0.500)
Cl (0.500, 0.500, 0.500)

Summary:
The value obtained for the calculated volume is 108.5 Å³/f.u. As for the formation energy from raw total energies: 9.32 eV per formula unit.

# 7
Below is a relaxed Pr4NdIr2 crystal, with properties calculated at the PBE level.

Cell: 8.064 6.709 8.200 Å, 90.00 113.41 90.00°
Element x y z (fractional)
Pr (0.013, 0.250, 0.378)
Pr (0.251, 0.750, 0.339)
Pr (0.415, 0.006, 0.764)
Pr (0.415, 0.494, 0.764)
Pr (0.585, 0.506, 0.236)
Pr (0.585, 0.994, 0.236)
Pr (0.749, 0.250, 0.661)
Pr (0.987, 0.750, 0.622)
Nd (0.150, 0.250, 0.028)
Nd (0.850, 0.750, 0.972)
Ir (0.248, 0.750, 0.990)
Ir (0.369, 0.250, 0.401)
Ir (0.631, 0.750, 0.599)
Ir (0.752, 0.250, 0.010)

Summary:
The value obtained for the calculated volume is 203.6 Å³/f.u. The calculation puts the total energy at -88.172 eV per cell.

# 8
Below is a relaxed AcPr2Tl6 crystal, with properties calculated at the PBE level.

Cell: 9.220 9.220 3.733 Å, 90.00 90.00 120.00°
Element x y z (fractional)
Ac (0.000, 0.000, 0.000)
Pr (0.333, 0.667, 0.000)
Pr (0.667, 0.333, 0.000)
Tl (0.000, 0.337, 0.500)
Tl (0.000, 0.663, 0.500)
Tl (0.337, 0.000, 0.500)
Tl (0.337, 0.337, 0.500)
Tl (0.663, 0.000, 0.500)
Tl (0.663, 0.663, 0.500)

Summary:
The value obtained for the calculated volume is 274.8 Å³/f.u. The calculation puts the total energy at -30.142 eV per cell.

Copy entry 3 word for word.
Below is a relaxed Ho2Er5Th4 crystal, with properties calculated at the PBE level.

Cell: 3.558 8.607 11.793 Å, 104.59 98.61 90.06°
Element x y z (fractional)
Ho (0.090, 0.220, 0.180)
Ho (0.910, 0.780, 0.820)
Er (0.000, 0.500, 0.000)
Er (0.273, 0.686, 0.545)
Er (0.364, 0.405, 0.727)
Er (0.636, 0.595, 0.273)
Er (0.727, 0.314, 0.455)
Th (0.182, 0.952, 0.364)
Th (0.454, 0.137, 0.908)
Th (0.546, 0.863, 0.092)
Th (0.818, 0.048, 0.636)

Summary:
The value obtained for the calculated volume is 345.3 Å³/f.u. For the distance to the lowest polymorph of the same formula, the calculation gives 0 kJ/mol of formula units.